1.
Li2Ni2S3 | meta-GGA SCAN | PBEsol geometry

Computed properties:
formation energy without anion corrections = -524 kJ/mol of formula units
energy = -10.21 eV/atom

Geometry as CIF:
```
data_Li2Ni2S3
_chemical_formula_sum 'Li16 Ni16 S24'
_symmetry_space_group_name_H-M 'C 1 2/c 1'
_symmetry_Int_Tables_number 15
_cell_length_a 12.8035
_cell_length_b 11.7835
_cell_length_c 6.2643
_cell_angle_alpha 90.00
_cell_angle_beta 118.06
_cell_angle_gamma 90.00
loop_
_symmetry_equiv_pos_as_xyz
'x,y,z'
'-x,-y,-z'
'-x,y,-z+1/2'
'x,-y,z+1/2'
'x+1/2,y+1/2,z'
'-x+1/2,-y+1/2,-z'
'-x+1/2,y+1/2,-z+1/2'
'x+1/2,-y+1/2,z+1/2'
loop_
_atom_site_label
_atom_site_type_symbol
_atom_site_fract_x
_atom_site_fract_y
_atom_site_fract_z
Li1 Li 0.0000 0.0612 0.2500
Li2 Li 0.0000 0.2202 0.7500
Li3 Li 0.1245 0.4188 0.0817
Ni1 Ni 0.1811 0.2413 0.6048
Ni2 Ni 0.1992 0.0838 0.1090
S1 S 0.1067 0.3884 0.6826
S2 S 0.1289 0.2224 0.2236
S3 S 0.1534 0.0744 0.7285
```

---

2.
NiMoRh2Br | meta-GGA SCAN | PBEsol geometry

Computed properties:
formation energy without anion corrections = 660 kJ/mol of formula units
energy = -26.24 eV/atom

Geometry as CIF:
```
data_NiMoRh2Br
_chemical_formula_sum 'Ni1 Mo1 Rh2 Br1'
_symmetry_space_group_name_H-M 'P 4/m m m'
_symmetry_Int_Tables_number 123
_symmetry_space_group_name_Hall '-P 4 2'
_cell_length_a 4.6174
_cell_length_b 4.6174
_cell_length_c 4.7543
_cell_angle_alpha 90.00
_cell_angle_beta 90.00
_cell_angle_gamma 90.00
loop_
_atom_site_label
_atom_site_type_symbol
_atom_site_fract_x
_atom_site_fract_y
_atom_site_fract_z
Ni1 Ni 0.0000 0.0000 0.0000
Mo1 Mo 0.5000 0.5000 0.5000
Rh1 Rh 0.0000 0.5000 0.5000
Br1 Br 0.5000 0.5000 0.0000
```

---

3.
LiYMo2 | meta-GGA SCAN | PBEsol geometry

Computed properties:
formation energy = 0.47 eV per atom
energy = -24.53 eV/atom

Geometry as CIF:
```
data_LiYMo2
_chemical_formula_sum 'Li2 Y2 Mo4'
_symmetry_space_group_name_H-M 'I m m m'
_symmetry_Int_Tables_number 71
_symmetry_space_group_name_Hall '-I 2 2'
_cell_length_a 3.3803
_cell_length_b 4.2021
_cell_length_c 9.7659
_cell_angle_alpha 90.00
_cell_angle_beta 90.00
_cell_angle_gamma 90.00
loop_
_atom_site_label
_atom_site_type_symbol
_atom_site_fract_x
_atom_site_fract_y
_atom_site_fract_z
Li1 Li 0.0000 0.0000 0.0000
Y1 Y 0.0000 0.0000 0.5000
Mo1 Mo 0.0000 0.5000 0.2564
```

---

4.
InSi2Se | meta-GGA SCAN | PBEsol geometry

Computed properties:
formation energy without anion corrections = 145 kJ/mol of formula units
energy = -18.00 eV/atom

Geometry as CIF:
```
data_InSi2Se
_chemical_formula_sum 'In2 Si4 Se2'
_symmetry_space_group_name_H-M 'C m m m'
_symmetry_Int_Tables_number 65
_symmetry_space_group_name_Hall '-C 2 2'
_cell_length_a 5.3948
_cell_length_b 5.6897
_cell_length_c 5.1159
_cell_angle_alpha 90.00
_cell_angle_beta 90.00
_cell_angle_gamma 90.00
loop_
_atom_site_label
_atom_site_type_symbol
_atom_site_fract_x
_atom_site_fract_y
_atom_site_fract_z
In1 In 0.0000 0.0000 0.0000
Si1 Si 0.0000 0.2791 0.5000
Se1 Se 0.0000 0.5000 0.0000
```

---

5.
Mg3CrRe | meta-GGA SCAN | PBEsol geometry

Computed properties:
formation energy = 1.17 eV per atom
energy = -19.71 eV/atom

Geometry as CIF:
```
data_Mg3CrRe
_chemical_formula_sum 'Mg3 Cr1 Re1'
_symmetry_space_group_name_H-M 'P m -3 m'
_symmetry_Int_Tables_number 221
_symmetry_space_group_name_Hall '-P 4 2 3'
_cell_length_a 4.9929
_cell_length_b 4.9929
_cell_length_c 4.9929
_cell_angle_alpha 90.00
_cell_angle_beta 90.00
_cell_angle_gamma 90.00
loop_
_atom_site_label
_atom_site_type_symbol
_atom_site_fract_x
_atom_site_fract_y
_atom_site_fract_z
Mg1 Mg 0.0000 0.0000 0.5000
Cr1 Cr 0.5000 0.5000 0.5000
Re1 Re 0.0000 0.0000 0.0000
```

---

6.
Sr2Mg | meta-GGA SCAN | PBEsol geometry

Computed properties:
formation energy = -0.03 eV per atom
energy = -16.53 eV/atom

Geometry as CIF:
```
data_Sr2Mg
_chemical_formula_sum 'Sr4 Mg2'
_symmetry_space_group_name_H-M 'I 4/m m m'
_symmetry_Int_Tables_number 139
_symmetry_space_group_name_Hall '-I 4 2'
_cell_length_a 4.1434
_cell_length_b 4.1434
_cell_length_c 14.2879
_cell_angle_alpha 90.00
_cell_angle_beta 90.00
_cell_angle_gamma 90.00
loop_
_atom_site_label
_atom_site_type_symbol
_atom_site_fract_x
_atom_site_fract_y
_atom_site_fract_z
Sr1 Sr 0.0000 0.0000 0.1431
Mg1 Mg 0.0000 0.0000 0.5000
```